1.
VASP calculation (GGA-PBE) on crystalline Al2SeI2 at its relaxed geometry.

Computed properties:
- ΔE_f (raw) (eV/atom) = -0.02
- E_tot (eV per atom) = -2.84

Cell lengths 7.6190, 7.6190, 5.1279 Å; angles 90.00, 90.00, 90.00 degrees
Last column: nearest neighbours and their distance in Å.
Element x y z (fractional)
Se  0.0000  0.0000  0.0000  4 Al 2.70
I  0.1676  0.6676  0.5000  2 Al 2.79
Al  0.7308  0.2308  0.0000  2 Se 2.70, 2 I 2.79
Al  0.2308  0.2692  0.0000  2 Se 2.70, 2 I 2.79
I  0.8324  0.3324  0.5000  2 Al 2.79
I  0.3324  0.1676  0.5000  2 Al 2.79
I  0.6676  0.8324  0.5000  2 Al 2.79
Al  0.2692  0.7692  0.0000  2 Se 2.70, 2 I 2.79
Se  0.5000  0.5000  0.0000  4 Al 2.70
Al  0.7692  0.7308  0.0000  2 Se 2.70, 2 I 2.79

2.
VASP calculation (GGA-PBE) on crystalline AlSeI2 at its relaxed geometry.

Computed properties:
- ΔE_f (raw) (eV/atom) = -0.09
- energy above the most stable polymorph in this dataset (eV per atom) = 0.000
- E_tot (eV per atom) = -2.68

Cell lengths 10.6956, 10.6956, 7.9497 Å; angles 47.72, 47.72, 90.00 degrees
Last column: nearest neighbours and their distance in Å.
Element x y z (fractional)
Se  0.0000  0.0000  0.0000  2 Al 2.45
I  0.4595  0.1250  0.2500  2 Al 2.89
I  0.8750  0.7095  0.7500  2 Al 2.89
I  0.3750  0.5405  0.7500  2 Al 2.89
Al  0.2500  0.7500  0.5000  2 Se 2.45
Al  0.5000  0.5000  0.0000  2 Se 2.45
I  0.2905  0.6250  0.2500  2 Al 2.89
Se  0.7500  0.2500  0.5000  2 Al 2.45

3.
VASP calculation (GGA-PBE) on crystalline SrAlSe2I at its relaxed geometry.

Computed properties:
- ΔE_f (raw) (eV/atom) = -0.92
- E_tot (eV per atom) = -3.71

Cell lengths 5.0448, 5.5974, 5.0448 Å; angles 90.00, 90.00, 90.00 degrees
Last column: nearest neighbours and their distance in Å.
Element x y z (fractional)
Se  0.0000  0.0000  0.5000  2 Al 2.52
Sr  0.5000  0.5000  0.5000  4 I 3.57, 8 Se 3.77
Al  0.0000  0.0000  0.0000  4 Se 2.52, 2 I 2.80
I  0.0000  0.5000  0.0000  2 Al 2.80
Se  0.5000  0.0000  0.0000  2 Al 2.52

4.
VASP calculation (GGA-PBE) on crystalline AlTe2SeI at its relaxed geometry.

Computed properties:
- ΔE_f (raw) (eV/atom) = 0.40
- energy above the most stable polymorph in this dataset (eV per atom) = 0.000
- E_tot (eV per atom) = -2.61

Cell lengths 5.4318, 5.4318, 5.2201 Å; angles 90.00, 90.00, 90.00 degrees
Last column: nearest neighbours and their distance in Å.
Element x y z (fractional)
I  0.0000  0.0000  0.5000  2 Al 2.61
Te  0.0000  0.5000  0.0000  2 Al 2.72
Al  0.0000  0.0000  0.0000  2 I 2.61, 4 Te 2.72
Te  0.5000  0.0000  0.0000  2 Al 2.72
Se  0.5000  0.5000  0.5000  8 Te 3.77, 4 I 3.84

5.
VASP calculation (GGA-PBE) on crystalline UAl2Se4I2 at its relaxed geometry.

Computed properties:
- ΔE_f (raw) (eV/atom) = -0.84
- E_tot (eV per atom) = -4.82

Cell lengths 4.0408, 7.9605, 10.6612 Å; angles 107.99, 100.92, 90.00 degrees
Last column: nearest neighbours and their distance in Å.
Element x y z (fractional)
Se  0.4253  0.1166  0.8506  1 Al 2.36
U  0.0000  0.0000  0.0000  4 Se 2.88, 2 I 2.93
Se  0.5747  0.8834  0.1494  1 Al 2.36
Se  0.7547  0.8057  0.5095  3 Al 2.48-2.49
Al  0.6924  0.0234  0.3847  4 Se 2.36-2.49
Al  0.3076  0.9766  0.6153  4 Se 2.36-2.49
I  0.9084  0.6362  0.8167  1 U 2.93
Se  0.2453  0.1943  0.4905  3 Al 2.48-2.49
I  0.0916  0.3638  0.1833  1 U 2.93

6.
VASP calculation (GGA-PBE) on crystalline AlSi2I at its relaxed geometry.

Computed properties:
- ΔE_f (raw) (eV/atom) = 0.85
- energy above the most stable polymorph in this dataset (eV per atom) = 0.159
- E_tot (eV per atom) = -3.18

Cell lengths 4.9015, 4.9015, 4.9015 Å; angles 60.00, 60.00, 60.00 degrees
Last column: nearest neighbours and their distance in Å.
Element x y z (fractional)
Si  0.2500  0.2500  0.2500  4 I 3.00, 4 Al 3.00
Si  0.7500  0.7500  0.7500  4 I 3.00, 4 Al 3.00
I  0.5000  0.5000  0.5000  8 Si 3.00
Al  0.0000  0.0000  0.0000  8 Si 3.00

7.
VASP calculation (GGA-PBE) on crystalline AlSiI3 at its relaxed geometry.

Computed properties:
- ΔE_f (raw) (eV/atom) = 0.13
- energy above the most stable polymorph in this dataset (eV per atom) = 0.000
- E_tot (eV per atom) = -2.64

Cell lengths 5.6949, 5.6949, 5.6949 Å; angles 90.00, 90.00, 90.00 degrees
Last column: nearest neighbours and their distance in Å.
Element x y z (fractional)
I  0.5000  0.0000  0.0000  2 Si 2.85
Si  0.0000  0.0000  0.0000  6 I 2.85
I  0.0000  0.0000  0.5000  2 Si 2.85
Al  0.5000  0.5000  0.5000  12 I 4.03
I  0.0000  0.5000  0.0000  2 Si 2.85

8.
VASP calculation (GGA-PBE) on crystalline Al2Si4I at its relaxed geometry.

Computed properties:
- ΔE_f (raw) (eV/atom) = 1.14
- E_tot (eV per atom) = -3.25

Cell lengths 5.0643, 5.0643, 8.1479 Å; angles 71.89, 71.89, 90.00 degrees
Last column: nearest neighbours and their distance in Å.
Element x y z (fractional)
Si  0.5000  0.0000  0.0000  2 I 2.53
I  0.0000  0.0000  0.0000  4 Si 2.53
Si  0.0000  0.5000  0.0000  2 I 2.53
Al  0.4105  0.4105  0.1790  1 Si 2.46, 1 Al 2.62
Si  0.7574  0.7574  0.4852  1 Al 2.46
Si  0.2426  0.2426  0.5148  1 Al 2.46
Al  0.5895  0.5895  0.8210  1 Si 2.46, 1 Al 2.62

9.
VASP calculation (GGA-PBE) on crystalline AlSi2I at its relaxed geometry.

Computed properties:
- ΔE_f (raw) (eV/atom) = 0.69
- energy above the most stable polymorph in this dataset (eV per atom) = 0.000
- E_tot (eV per atom) = -3.34

Cell lengths 6.1445, 6.1445, 7.5981 Å; angles 66.15, 66.15, 90.00 degrees
Last column: nearest neighbours and their distance in Å.
Element x y z (fractional)
Al  0.2500  0.7500  0.5000  4 Si 2.45
Al  0.5000  0.5000  0.0000  4 Si 2.45
Si  0.3750  0.4460  0.7500  2 Al 2.45
I  0.0000  0.0000  0.0000  4 Si 2.95
I  0.7500  0.2500  0.5000  4 Si 2.95
Si  0.5540  0.1250  0.2500  2 Al 2.45
Si  0.1960  0.6250  0.2500  2 Al 2.45
Si  0.8750  0.8040  0.7500  2 Al 2.45

10.
VASP calculation (GGA-PBE) on crystalline AlSiI3 at its relaxed geometry.

Computed properties:
- ΔE_f (raw) (eV/atom) = 0.40
- energy above the most stable polymorph in this dataset (eV per atom) = 0.280
- E_tot (eV per atom) = -2.36

Cell lengths 5.5924, 5.5924, 5.5924 Å; angles 90.00, 90.00, 90.00 degrees
Last column: nearest neighbours and their distance in Å.
Element x y z (fractional)
I  0.5000  0.0000  0.0000  2 Al 2.80
Al  0.0000  0.0000  0.0000  6 I 2.80
I  0.0000  0.0000  0.5000  2 Al 2.80
Si  0.5000  0.5000  0.5000  12 I 3.95
I  0.0000  0.5000  0.0000  2 Al 2.80

11.
VASP calculation (GGA-PBE) on crystalline AlSi3I at its relaxed geometry.

Computed properties:
- ΔE_f (raw) (eV/atom) = 0.92
- energy above the most stable polymorph in this dataset (eV per atom) = 0.000
- E_tot (eV per atom) = -3.39

Cell lengths 4.8882, 4.8882, 4.8882 Å; angles 90.00, 90.00, 90.00 degrees
Last column: nearest neighbours and their distance in Å.
Element x y z (fractional)
I  0.5000  0.5000  0.5000  12 Si 3.46
Si  0.0000  0.0000  0.5000  2 Al 2.44
Si  0.5000  0.0000  0.0000  2 Al 2.44
Si  0.0000  0.5000  0.0000  2 Al 2.44
Al  0.0000  0.0000  0.0000  6 Si 2.44

12.
VASP calculation (GGA-PBE) on crystalline AlSi2SnI at its relaxed geometry.

Computed properties:
- ΔE_f (raw) (eV/atom) = 1.46
- E_tot (eV per atom) = -2.57

Cell lengths 5.3470, 5.8251, 5.3470 Å; angles 90.00, 90.00, 90.00 degrees
Last column: nearest neighbours and their distance in Å.
Element x y z (fractional)
I  0.0000  0.0000  0.0000  4 Si 2.67, 2 Sn 2.91
Si  0.5000  0.0000  0.0000  2 I 2.67
Al  0.5000  0.5000  0.5000  4 Sn 3.78, 8 Si 3.95
Sn  0.0000  0.5000  0.0000  2 I 2.91
Si  0.0000  0.0000  0.5000  2 I 2.67